1.
A plane-wave DFT calculation with PBE was carried out for an optimized crystal structure of K2BeMo.

Calculated values
- uncorrected energy (eV/atom) = -2.851

abc: 9.192 9.192 9.192
angles: 93.35 93.35 152.03
Sites, in units of the cell vectors:
K  0.375  0.186  0.311
K  0.814  0.125  0.189
K  0.875  0.064  0.689
K  0.936  0.625  0.811
Be  0.000  0.000  0.000
Be  0.750  0.250  0.500
Mo  0.250  0.750  0.500
Mo  0.500  0.500  0.000

---

2.
A plane-wave DFT calculation with PBE was carried out for an optimized crystal structure of La5CdIn3.

Calculated values
- uncorrected energy (eV/atom) = -4.155

abc: 9.828 9.828 6.908
angles: 90.00 90.00 120.00
Sites, in units of the cell vectors:
La  0.000  0.297  0.250
La  0.000  0.703  0.750
La  0.297  0.000  0.250
La  0.297  0.297  0.750
La  0.333  0.667  0.000
La  0.333  0.667  0.500
La  0.667  0.333  0.000
La  0.667  0.333  0.500
La  0.703  0.000  0.750
La  0.703  0.703  0.250
Cd  0.000  0.000  0.000
Cd  0.000  0.000  0.500
In  0.000  0.365  0.750
In  0.000  0.635  0.250
In  0.365  0.000  0.750
In  0.365  0.365  0.250
In  0.635  0.000  0.250
In  0.635  0.635  0.750

---

3.
A plane-wave DFT calculation with PBE was carried out for an optimized crystal structure of SmThInHg.

Calculated values
- relative energy among the computed polymorphs (meV/atom) = 38

abc: 5.430 5.430 5.430
angles: 60.00 60.00 60.00
Sites, in units of the cell vectors:
Sm  0.000  0.000  0.000
Th  0.500  0.500  0.500
In  0.750  0.750  0.750
Hg  0.250  0.250  0.250

---

4.
A plane-wave DFT calculation with PBE was carried out for an optimized crystal structure of NbH2Pd.

Calculated values
- relative energy among the computed polymorphs (meV/atom) = 0

abc: 5.448 5.448 5.448
angles: 31.82 31.82 31.82
Sites, in units of the cell vectors:
Nb  0.000  0.000  0.000
H  0.400  0.400  0.400
H  0.603  0.603  0.603
Pd  0.178  0.178  0.178

---

5.
A plane-wave DFT calculation with PBE was carried out for an optimized crystal structure of Hf3ScPa2N6.

Calculated values
- energy relative to the elements, uncorrected (meV per atom) = -1737

abc: 7.422 7.422 6.686
angles: 103.73 103.73 25.55
Sites, in units of the cell vectors:
Hf  0.000  0.000  0.000
Hf  0.337  0.337  0.667
Hf  0.663  0.663  0.333
Sc  0.000  0.000  0.500
Pa  0.334  0.334  0.167
Pa  0.666  0.666  0.833
N  0.159  0.159  0.103
N  0.167  0.167  0.570
N  0.497  0.497  0.753
N  0.503  0.503  0.247
N  0.833  0.833  0.430
N  0.841  0.841  0.897

---

6.
A plane-wave DFT calculation with PBE was carried out for an optimized crystal structure of CeDyHoLu.

Calculated values
- uncorrected energy (eV/atom) = -4.752

abc: 5.607 5.607 5.607
angles: 60.00 60.00 60.00
Sites, in units of the cell vectors:
Ce  0.000  0.000  0.000
Dy  0.750  0.750  0.750
Ho  0.500  0.500  0.500
Lu  0.250  0.250  0.250